This record from Alexandria describes a relaxed Mn3SiO4F2 crystal. The functional is PBE+U.

Cell: 10.954 9.322 4.927 Å, 90.00 90.00 90.00°
Space group Pnma (No. 62)
Inequivalent atoms, fractional coordinates:
1 Mn 0.088 0.250 0.005 (multiplicity 4)
2 Mn 0.137 0.570 0.486 (multiplicity 8)
3 Si 0.221 0.750 0.921 (multiplicity 4)
4 O 0.083 0.750 0.785 (multiplicity 4)
5 O 0.209 0.110 0.279 (multiplicity 8)
6 O 0.223 0.750 0.253 (multiplicity 4)
7 F 0.032 0.083 0.731 (multiplicity 8)

- Magnetic moment: 15.000 μB/f.u.
- Calculated total energy: -75.006 eV/f.u.
- N(E_F): 0.000 states/eV per atom